(1)
# Cr2CdBi (PBE-GGA, optimized geometry)
data_Cr2CdBi
_chemical_formula_sum 'Cr4 Cd2 Bi2'
_space_group_name_H-M_alt 'P 1'
_space_group_IT_number 1
_cell_length_a 10.1968
_cell_length_b 10.1968
_cell_length_c 10.1968
_cell_angle_alpha 154.87
_cell_angle_beta 154.87
_cell_angle_gamma 35.84
loop_
_space_group_symop_operation_xyz
'x,y,z'
loop_
_atom_site_label
_atom_site_type_symbol
_atom_site_fract_x
_atom_site_fract_y
_atom_site_fract_z
Cr1 Cr 0.1236 0.6250 0.9986
Cr2 Cr 0.3750 0.3736 0.4986
Cr3 Cr 0.6264 0.1250 0.0014
Cr4 Cr 0.8750 0.8764 0.5014
Cd1 Cd 0.2500 0.7500 0.5000
Cd2 Cd 0.5000 0.5000 0.0000
Bi1 Bi 0.0000 0.0000 0.0000
Bi2 Bi 0.7500 0.2500 0.5000
# total magnetization: 8.48 μB/f.u.
# DOS(E_F): 0.699 states/eV per atom
# calculated formation energy: 0.81 eV per atom
# E: -5.196 eV/atom

(2)
# HfTlTc2O8 (PBE-GGA, optimized geometry)
data_HfTlTc2O8
_chemical_formula_sum 'Hf1 Tl1 Tc2 O8'
_space_group_name_H-M_alt 'P 1'
_space_group_IT_number 1
_cell_length_a 5.6857
_cell_length_b 5.6857
_cell_length_c 8.0475
_cell_angle_alpha 91.45
_cell_angle_beta 91.45
_cell_angle_gamma 62.87
loop_
_space_group_symop_operation_xyz
'x,y,z'
loop_
_atom_site_label
_atom_site_type_symbol
_atom_site_fract_x
_atom_site_fract_y
_atom_site_fract_z
Hf1 Hf 0.0000 0.0000 0.0000
Tl1 Tl 0.0000 0.0000 0.5000
Tc1 Tc 0.3543 0.3543 0.2268
Tc2 Tc 0.6457 0.6457 0.7732
O1 O 0.1961 0.7069 0.1751
O2 O 0.1987 0.1987 0.0943
O3 O 0.2931 0.8039 0.8249
O4 O 0.3148 0.3148 0.4370
O5 O 0.6852 0.6852 0.5630
O6 O 0.7069 0.1961 0.1751
O7 O 0.8013 0.8013 0.9057
O8 O 0.8039 0.2931 0.8249
# total magnetization: 2.94 μB/f.u.
# DOS(E_F): 0.609 states/eV per atom
# raw formation energy: -1.74 eV/atom
# E: -7.802 eV/atom

(3)
# LaAgCl2 (PBE-GGA, optimized geometry)
data_LaAgCl2
_chemical_formula_sum 'La1 Ag1 Cl2'
_space_group_name_H-M_alt 'P 1'
_space_group_IT_number 1
_cell_length_a 3.4939
_cell_length_b 3.4939
_cell_length_c 10.3968
_cell_angle_alpha 90.00
_cell_angle_beta 90.00
_cell_angle_gamma 90.00
loop_
_space_group_symop_operation_xyz
'x,y,z'
loop_
_atom_site_label
_atom_site_type_symbol
_atom_site_fract_x
_atom_site_fract_y
_atom_site_fract_z
La1 La 0.0000 0.0000 0.0000
Ag1 Ag 0.0000 0.0000 0.5000
Cl1 Cl 0.5000 0.5000 0.1580
Cl2 Cl 0.5000 0.5000 0.8420
# total magnetization: 0.00 μB/f.u.
# DOS(E_F): 0.538 states/eV per atom
# raw formation energy: -1.19 eV/atom
# E: -4.058 eV/atom

(4)
# MnBeMoRu (PBE-GGA, optimized geometry)
data_MnBeMoRu
_chemical_formula_sum 'Mn1 Be1 Mo1 Ru1'
_space_group_name_H-M_alt 'P 1'
_space_group_IT_number 1
_cell_length_a 4.1459
_cell_length_b 4.1459
_cell_length_c 4.1459
_cell_angle_alpha 60.00
_cell_angle_beta 60.00
_cell_angle_gamma 60.00
loop_
_space_group_symop_operation_xyz
'x,y,z'
loop_
_atom_site_label
_atom_site_type_symbol
_atom_site_fract_x
_atom_site_fract_y
_atom_site_fract_z
Mn1 Mn 0.0000 0.0000 0.0000
Be1 Be 0.7500 0.7500 0.7500
Mo1 Mo 0.2500 0.2500 0.2500
Ru1 Ru 0.5000 0.5000 0.5000
# total magnetization: 0.92 μB/f.u.
# DOS(E_F): 0.861 states/eV per atom
# calculated formation energy: -0.03 eV per atom
# E: -8.280 eV/atom

(5)
# Mn2Cr3 (PBE-GGA, optimized geometry)
data_Mn2Cr3
_chemical_formula_sum 'Mn4 Cr6'
_space_group_name_H-M_alt 'P 1'
_space_group_IT_number 1
_cell_length_a 4.7691
_cell_length_b 4.7691
_cell_length_c 5.9560
_cell_angle_alpha 90.00
_cell_angle_beta 90.00
_cell_angle_gamma 118.60
loop_
_space_group_symop_operation_xyz
'x,y,z'
loop_
_atom_site_label
_atom_site_type_symbol
_atom_site_fract_x
_atom_site_fract_y
_atom_site_fract_z
Mn1 Mn 0.0926 0.9074 0.8684
Mn2 Mn 0.4074 0.5926 0.3684
Mn3 Mn 0.5926 0.4074 0.6316
Mn4 Mn 0.9074 0.0926 0.1316
Cr1 Cr 0.0000 0.0000 0.5000
Cr2 Cr 0.0642 0.4358 0.7500
Cr3 Cr 0.4358 0.0642 0.2500
Cr4 Cr 0.5000 0.5000 0.0000
Cr5 Cr 0.5642 0.9358 0.7500
Cr6 Cr 0.9358 0.5642 0.2500
# total magnetization: 0.00 μB/f.u.
# DOS(E_F): 1.154 states/eV per atom
# calculated formation energy: 0.40 eV per atom
# E: -9.045 eV/atom

(6)
# Al6ZnRe (PBE-GGA, optimized geometry)
data_Al6ZnRe
_chemical_formula_sum 'Al6 Zn1 Re1'
_space_group_name_H-M_alt 'P 1'
_space_group_IT_number 1
_cell_length_a 5.7294
_cell_length_b 5.7294
_cell_length_c 5.5622
_cell_angle_alpha 104.20
_cell_angle_beta 104.20
_cell_angle_gamma 118.95
loop_
_space_group_symop_operation_xyz
'x,y,z'
loop_
_atom_site_label
_atom_site_type_symbol
_atom_site_fract_x
_atom_site_fract_y
_atom_site_fract_z
Al1 Al 0.0076 0.0076 0.2551
Al2 Al 0.2555 0.6996 0.2379
Al3 Al 0.3004 0.7445 0.7621
Al4 Al 0.6996 0.2555 0.2379
Al5 Al 0.7445 0.3004 0.7621
Al6 Al 0.9924 0.9924 0.7449
Zn1 Zn 0.5000 0.5000 0.0000
Re1 Re 0.5000 0.5000 0.5000
# total magnetization: 0.00 μB/f.u.
# DOS(E_F): 0.365 states/eV per atom
# calculated formation energy: 0.24 eV per atom
# E: -4.278 eV/atom

(7)
# SrCaCl2 (PBE-GGA, optimized geometry)
data_SrCaCl2
_chemical_formula_sum 'Sr1 Ca1 Cl2'
_space_group_name_H-M_alt 'P 1'
_space_group_IT_number 1
_cell_length_a 11.2399
_cell_length_b 11.2399
_cell_length_c 11.2399
_cell_angle_alpha 21.50
_cell_angle_beta 21.50
_cell_angle_gamma 21.50
loop_
_space_group_symop_operation_xyz
'x,y,z'
loop_
_atom_site_label
_atom_site_type_symbol
_atom_site_fract_x
_atom_site_fract_y
_atom_site_fract_z
Sr1 Sr 0.0000 0.0000 0.0000
Ca1 Ca 0.5000 0.5000 0.5000
Cl1 Cl 0.2087 0.2087 0.2087
Cl2 Cl 0.7913 0.7913 0.7913
# total magnetization: 0.00 μB/f.u.
# DOS(E_F): 0.189 states/eV per atom
# raw formation energy: -1.63 eV/atom
# E: -3.476 eV/atom

(8)
# Hf2SnSb2 (PBE-GGA, optimized geometry)
data_Hf2SnSb2
_chemical_formula_sum 'Hf4 Sn2 Sb4'
_space_group_name_H-M_alt 'P 1'
_space_group_IT_number 1
_cell_length_a 7.8642
_cell_length_b 7.8642
_cell_length_c 3.8444
_cell_angle_alpha 90.00
_cell_angle_beta 90.00
_cell_angle_gamma 90.00
loop_
_space_group_symop_operation_xyz
'x,y,z'
loop_
_atom_site_label
_atom_site_type_symbol
_atom_site_fract_x
_atom_site_fract_y
_atom_site_fract_z
Hf1 Hf 0.1461 0.3539 0.0000
Hf2 Hf 0.3539 0.8539 0.0000
Hf3 Hf 0.6461 0.1461 0.0000
Hf4 Hf 0.8539 0.6461 0.0000
Sn1 Sn 0.0000 0.0000 0.0000
Sn2 Sn 0.5000 0.5000 0.0000
Sb1 Sb 0.1498 0.6498 0.5000
Sb2 Sb 0.3502 0.1498 0.5000
Sb3 Sb 0.6498 0.8502 0.5000
Sb4 Sb 0.8502 0.3502 0.5000
# total magnetization: 0.00 μB/f.u.
# DOS(E_F): 0.719 states/eV per atom
# raw formation energy: -0.33 eV/atom
# E: -6.761 eV/atom

(9)
# BeAl2As (PBE-GGA, optimized geometry)
data_BeAl2As
_chemical_formula_sum 'Be1 Al2 As1'
_space_group_name_H-M_alt 'P 1'
_space_group_IT_number 1
_cell_length_a 5.6845
_cell_length_b 5.6845
_cell_length_c 5.6845
_cell_angle_alpha 144.51
_cell_angle_beta 142.31
_cell_angle_gamma 52.73
loop_
_space_group_symop_operation_xyz
'x,y,z'
loop_
_atom_site_label
_atom_site_type_symbol
_atom_site_fract_x
_atom_site_fract_y
_atom_site_fract_z
Be1 Be 0.0000 0.0000 0.0000
Al1 Al 0.2229 0.7229 0.5000
Al2 Al 0.5276 0.5276 0.0000
As1 As 0.8388 0.3388 0.5000
# total magnetization: 0.00 μB/f.u.
# DOS(E_F): 0.233 states/eV per atom
# calculated formation energy: 0.18 eV per atom
# E: -3.788 eV/atom

(10)
# LiTbBi (PBE-GGA, optimized geometry)
data_LiTbBi
_chemical_formula_sum 'Li6 Tb6 Bi6'
_space_group_name_H-M_alt 'P 1'
_space_group_IT_number 1
_cell_length_a 7.4687
_cell_length_b 4.5721
_cell_length_c 13.1142
_cell_angle_alpha 90.00
_cell_angle_beta 90.23
_cell_angle_gamma 90.00
loop_
_space_group_symop_operation_xyz
'x,y,z'
loop_
_atom_site_label
_atom_site_type_symbol
_atom_site_fract_x
_atom_site_fract_y
_atom_site_fract_z
Li1 Li 0.0072 0.2500 0.0968
Li2 Li 0.1776 0.2500 0.4504
Li3 Li 0.3490 0.7500 0.8037
Li4 Li 0.6510 0.2500 0.1963
Li5 Li 0.8224 0.7500 0.5496
Li6 Li 0.9928 0.7500 0.9032
Tb1 Tb 0.0091 0.2500 0.6893
Tb2 Tb 0.3440 0.7500 0.0730
Tb3 Tb 0.4904 0.7500 0.3733
Tb4 Tb 0.5096 0.2500 0.6267
Tb5 Tb 0.6560 0.2500 0.9270
Tb6 Tb 0.9909 0.7500 0.3107
Bi1 Bi 0.2192 0.2500 0.9059
Bi2 Bi 0.2248 0.7500 0.5669
Bi3 Bi 0.2796 0.2500 0.2437
Bi4 Bi 0.7204 0.7500 0.7563
Bi5 Bi 0.7752 0.2500 0.4331
Bi6 Bi 0.7808 0.7500 0.0941
# total magnetization: 0.01 μB/f.u.
# DOS(E_F): 0.818 states/eV per atom
# calculated formation energy: -0.63 eV per atom
# E: -4.101 eV/atom

(11)
# PaAlZnN (PBE-GGA, optimized geometry)
data_PaAlZnN
_chemical_formula_sum 'Pa2 Al2 Zn2 N2'
_space_group_name_H-M_alt 'P 1'
_space_group_IT_number 1
_cell_length_a 4.0660
_cell_length_b 4.0660
_cell_length_c 8.0268
_cell_angle_alpha 90.00
_cell_angle_beta 90.00
_cell_angle_gamma 90.00
loop_
_space_group_symop_operation_xyz
'x,y,z'
loop_
_atom_site_label
_atom_site_type_symbol
_atom_site_fract_x
_atom_site_fract_y
_atom_site_fract_z
Pa1 Pa 0.2500 0.2500 0.1382
Pa2 Pa 0.7500 0.7500 0.8618
Al1 Al 0.2500 0.7500 0.5000
Al2 Al 0.7500 0.2500 0.5000
Zn1 Zn 0.2500 0.2500 0.6938
Zn2 Zn 0.7500 0.7500 0.3062
N1 N 0.2500 0.7500 0.0000
N2 N 0.7500 0.2500 0.0000
# total magnetization: 0.00 μB/f.u.
# DOS(E_F): 0.613 states/eV per atom
# raw formation energy: -0.84 eV/atom
# E: -6.551 eV/atom

(12)
# AgSF2 (PBE-GGA, optimized geometry)
data_AgSF2
_chemical_formula_sum 'Ag1 S1 F2'
_space_group_name_H-M_alt 'P 1'
_space_group_IT_number 1
_cell_length_a 2.8085
_cell_length_b 5.2079
_cell_length_c 5.3315
_cell_angle_alpha 78.97
_cell_angle_beta 74.84
_cell_angle_gamma 74.36
loop_
_space_group_symop_operation_xyz
'x,y,z'
loop_
_atom_site_label
_atom_site_type_symbol
_atom_site_fract_x
_atom_site_fract_y
_atom_site_fract_z
Ag1 Ag 0.0000 0.0000 0.0000
S1 S 0.3136 0.6554 0.7204
F1 F 0.2934 0.3880 0.0309
F2 F 0.3327 0.9003 0.4349
# total magnetization: 0.00 μB/f.u.
# DOS(E_F): 0.549 states/eV per atom
# raw formation energy: -0.78 eV/atom
# E: -3.464 eV/atom